No. 1
The following is a GGA-PBE calculation of Er2LuZr after structural relaxation, from Alexandria.

ΔE to the lowest computed polymorph ... 0.090 eV/atom
Energy relative to the elements ... 0.163 eV/atom
Density of states at the Fermi level ... 7.194 states/eV/f.u.

```
data_Er2LuZr
_chemical_formula_sum 'Er2 Lu1 Zr1'
_symmetry_space_group_name_H-M 'P 4/m m m'
_symmetry_Int_Tables_number 123
_symmetry_space_group_name_Hall '-P 4 2'
_cell_length_a 3.9862
_cell_length_b 3.9862
_cell_length_c 7.0701
_cell_angle_alpha 90.00
_cell_angle_beta 90.00
_cell_angle_gamma 90.00
loop_
_atom_site_label
_atom_site_type_symbol
_atom_site_fract_x
_atom_site_fract_y
_atom_site_fract_z
Er1 Er 0.0000 0.0000 0.2305
Lu1 Lu 0.5000 0.5000 0.5000
Zr1 Zr 0.5000 0.5000 0.0000
```

No. 2
The following is a GGA-PBE calculation of ErLu2Zr after structural relaxation, from Alexandria.

ΔE to the lowest computed polymorph ... 0.119 eV/atom
Energy relative to the elements ... 0.193 eV/atom
Density of states at the Fermi level ... 7.578 states/eV/f.u.

```
data_ErLu2Zr
_chemical_formula_sum 'Er4 Lu8 Zr4'
_symmetry_space_group_name_H-M 'F m -3 m'
_symmetry_Int_Tables_number 225
_symmetry_space_group_name_Hall '-F 4 2 3'
_cell_length_a 7.6477
_cell_length_b 7.6477
_cell_length_c 7.6477
_cell_angle_alpha 90.00
_cell_angle_beta 90.00
_cell_angle_gamma 90.00
loop_
_atom_site_label
_atom_site_type_symbol
_atom_site_fract_x
_atom_site_fract_y
_atom_site_fract_z
Er1 Er 0.0000 0.0000 0.0000
Lu1 Lu 0.2500 0.2500 0.2500
Zr1 Zr 0.0000 0.0000 0.5000
```

No. 3
The following is a GGA-PBE calculation of ErLuZr2 after structural relaxation, from Alexandria.

ΔE to the lowest computed polymorph ... 0.159 eV/atom
Energy relative to the elements ... 0.248 eV/atom
Density of states at the Fermi level ... 8.669 states/eV/f.u.

```
data_ErLuZr2
_chemical_formula_sum 'Er4 Lu4 Zr8'
_symmetry_space_group_name_H-M 'F m -3 m'
_symmetry_Int_Tables_number 225
_symmetry_space_group_name_Hall '-F 4 2 3'
_cell_length_a 7.4642
_cell_length_b 7.4642
_cell_length_c 7.4642
_cell_angle_alpha 90.00
_cell_angle_beta 90.00
_cell_angle_gamma 90.00
loop_
_atom_site_label
_atom_site_type_symbol
_atom_site_fract_x
_atom_site_fract_y
_atom_site_fract_z
Er1 Er 0.0000 0.0000 0.0000
Lu1 Lu 0.0000 0.0000 0.5000
Zr1 Zr 0.2500 0.2500 0.2500
```

No. 4
The following is a GGA-PBE calculation of ErLuZr after structural relaxation, from Alexandria.

ΔE to the lowest computed polymorph ... 0.010 eV/atom
Energy relative to the elements ... 0.070 eV/atom
Density of states at the Fermi level ... 3.336 states/eV/f.u.

```
data_ErLuZr
_chemical_formula_sum 'Er1 Lu1 Zr1'
_symmetry_space_group_name_H-M 'P 3 m 1'
_symmetry_Int_Tables_number 156
_symmetry_space_group_name_Hall 'P 3 -2"'
_cell_length_a 3.3750
_cell_length_b 3.3750
_cell_length_c 8.3040
_cell_angle_alpha 90.00
_cell_angle_beta 90.00
_cell_angle_gamma 120.00
loop_
_atom_site_label
_atom_site_type_symbol
_atom_site_fract_x
_atom_site_fract_y
_atom_site_fract_z
Er1 Er 0.0000 0.0000 0.0000
Lu1 Lu 0.3333 0.6667 0.6357
Zr1 Zr 0.6667 0.3333 0.3192
```

No. 5
The following is a GGA-PBE calculation of ErLu2Zr after structural relaxation, from Alexandria.

ΔE to the lowest computed polymorph ... 0.119 eV/atom
Energy relative to the elements ... 0.193 eV/atom
Density of states at the Fermi level ... 6.253 states/eV/f.u.

```
data_ErLu2Zr
_chemical_formula_sum 'Er3 Lu6 Zr3'
_symmetry_space_group_name_H-M 'R -3 m'
_symmetry_Int_Tables_number 166
_symmetry_space_group_name_Hall '-R 3 2"'
_cell_length_a 3.3522
_cell_length_b 3.3522
_cell_length_c 35.3134
_cell_angle_alpha 90.00
_cell_angle_beta 90.00
_cell_angle_gamma 120.00
loop_
_atom_site_label
_atom_site_type_symbol
_atom_site_fract_x
_atom_site_fract_y
_atom_site_fract_z
Er1 Er 0.0000 0.0000 0.0000
Lu1 Lu 0.0000 0.0000 0.0938
Zr1 Zr 0.0000 0.0000 0.5000
```

No. 6
The following is a GGA-PBE calculation of Er2LuZr after structural relaxation, from Alexandria.

ΔE to the lowest computed polymorph ... 0.000 eV/atom
Energy relative to the elements ... 0.073 eV/atom
Density of states at the Fermi level ... 5.536 states/eV/f.u.

```
data_Er2LuZr
_chemical_formula_sum 'Er6 Lu3 Zr3'
_symmetry_space_group_name_H-M 'R -3 m'
_symmetry_Int_Tables_number 166
_symmetry_space_group_name_Hall '-R 3 2"'
_cell_length_a 3.4030
_cell_length_b 3.4030
_cell_length_c 33.5027
_cell_angle_alpha 90.00
_cell_angle_beta 90.00
_cell_angle_gamma 120.00
loop_
_atom_site_label
_atom_site_type_symbol
_atom_site_fract_x
_atom_site_fract_y
_atom_site_fract_z
Er1 Er 0.0000 0.0000 0.2458
Lu1 Lu 0.0000 0.0000 0.0000
Zr1 Zr 0.0000 0.0000 0.5000
```

No. 7
The following is a GGA-PBE calculation of ErLuZr2 after structural relaxation, from Alexandria.

ΔE to the lowest computed polymorph ... 0.000 eV/atom
Energy relative to the elements ... 0.089 eV/atom
Density of states at the Fermi level ... 5.145 states/eV/f.u.

```
data_ErLuZr2
_chemical_formula_sum 'Er1 Lu1 Zr2'
_symmetry_space_group_name_H-M 'P 4/m m m'
_symmetry_Int_Tables_number 123
_symmetry_space_group_name_Hall '-P 4 2'
_cell_length_a 4.6745
_cell_length_b 4.6745
_cell_length_c 4.7413
_cell_angle_alpha 90.00
_cell_angle_beta 90.00
_cell_angle_gamma 90.00
loop_
_atom_site_label
_atom_site_type_symbol
_atom_site_fract_x
_atom_site_fract_y
_atom_site_fract_z
Er1 Er 0.0000 0.0000 0.0000
Lu1 Lu 0.5000 0.5000 0.0000
Zr1 Zr 0.0000 0.5000 0.5000
```

No. 8
The following is a GGA-PBE calculation of Er2LuZr after structural relaxation, from Alexandria.

ΔE to the lowest computed polymorph ... 0.004 eV/atom
Energy relative to the elements ... 0.077 eV/atom
Density of states at the Fermi level ... 5.822 states/eV/f.u.

```
data_Er2LuZr
_chemical_formula_sum 'Er2 Lu1 Zr1'
_symmetry_space_group_name_H-M 'P 4/m m m'
_symmetry_Int_Tables_number 123
_symmetry_space_group_name_Hall '-P 4 2'
_cell_length_a 4.8126
_cell_length_b 4.8126
_cell_length_c 4.7947
_cell_angle_alpha 90.00
_cell_angle_beta 90.00
_cell_angle_gamma 90.00
loop_
_atom_site_label
_atom_site_type_symbol
_atom_site_fract_x
_atom_site_fract_y
_atom_site_fract_z
Er1 Er 0.0000 0.5000 0.0000
Lu1 Lu 0.0000 0.0000 0.5000
Zr1 Zr 0.5000 0.5000 0.5000
```